(1)
A relaxed Sr2La2Zn crystal, computed with GGA-PBE.

Properties
E: -2.7540 eV/atom
ΔE_f: 145 meV/atom
spin magnetization: 0.7 μB per formula unit
space-group type: P4/mbm (127)

abc: 7.963 7.963 6.303
angles: 90.00 90.00 90.00
Sites, in units of the cell vectors:
Sr (0.175, 0.325, 0.000)
Sr (0.325, 0.825, 0.000)
Sr (0.675, 0.175, 0.000)
Sr (0.825, 0.675, 0.000)
La (0.133, 0.633, 0.500)
La (0.367, 0.133, 0.500)
La (0.633, 0.867, 0.500)
La (0.867, 0.367, 0.500)
Zn (0.000, 0.000, 0.500)
Zn (0.500, 0.500, 0.500)

---

(2)
A relaxed CuSbPdO6 crystal, computed with GGA-PBE.

Properties
formation energy (no corrections): -5.7 eV/f.u.
E: -5.4341 eV/atom
spin magnetization: 2.0 μB per formula unit
space-group type: P-31c (163)

abc: 5.191 5.191 8.723
angles: 90.00 90.00 120.00
Sites, in units of the cell vectors:
Cu (0.000, 0.000, 0.000)
Cu (0.000, 0.000, 0.500)
Sb (0.333, 0.667, 0.250)
Sb (0.667, 0.333, 0.750)
Pd (0.333, 0.667, 0.750)
Pd (0.667, 0.333, 0.250)
O (0.001, 0.345, 0.625)
O (0.001, 0.655, 0.875)
O (0.345, 0.001, 0.125)
O (0.345, 0.345, 0.375)
O (0.345, 0.345, 0.875)
O (0.345, 0.999, 0.625)
O (0.655, 0.001, 0.375)
O (0.655, 0.655, 0.125)
O (0.655, 0.655, 0.625)
O (0.655, 0.999, 0.875)
O (0.999, 0.345, 0.125)
O (0.999, 0.655, 0.375)

---

(3)
A relaxed ZrScRh2 crystal, computed with GGA-PBE.

Properties
E: -7.5764 eV/atom
ΔE_f: -181 meV/atom
spin magnetization: 0.0 μB per formula unit
space-group type: R3m (160)

abc: 8.767 8.767 8.767
angles: 21.45 21.45 21.45
Sites, in units of the cell vectors:
Zr (0.000, 0.000, 0.000)
Sc (0.221, 0.221, 0.221)
Rh (0.485, 0.485, 0.485)
Rh (0.734, 0.734, 0.734)

---

(4)
A relaxed BeTe2 crystal, computed with GGA-PBE.

Properties
formation energy (no corrections): 0.1 eV/f.u.
E: -3.3198 eV/atom
relative energy among the computed polymorphs: 161 meV per atom
spin magnetization: 0.0 μB per formula unit
space-group type: Pa-3 (205)

abc: 6.532 6.532 6.532
angles: 90.00 90.00 90.00
Sites, in units of the cell vectors:
Be (0.000, 0.000, 0.000)
Be (0.000, 0.500, 0.500)
Be (0.500, 0.000, 0.500)
Be (0.500, 0.500, 0.000)
Te (0.124, 0.624, 0.876)
Te (0.124, 0.876, 0.376)
Te (0.376, 0.124, 0.876)
Te (0.376, 0.376, 0.376)
Te (0.624, 0.624, 0.624)
Te (0.624, 0.876, 0.124)
Te (0.876, 0.124, 0.624)
Te (0.876, 0.376, 0.124)

---

(5)
A relaxed Rb4Y3TiO8 crystal, computed with GGA-PBE.

Properties
formation energy (no corrections): -40.2 eV/f.u.
E: -6.9407 eV/atom
spin magnetization: 1.0 μB per formula unit
space-group type: R-3m (166)

abc: 7.625 7.625 7.625
angles: 53.69 53.69 53.69
Sites, in units of the cell vectors:
Rb (0.000, 0.000, 0.000)
Rb (0.000, 0.500, 0.500)
Rb (0.500, 0.000, 0.500)
Rb (0.500, 0.500, 0.000)
Y (0.000, 0.000, 0.500)
Y (0.000, 0.500, 0.000)
Y (0.500, 0.000, 0.000)
Ti (0.500, 0.500, 0.500)
O (0.226, 0.226, 0.226)
O (0.241, 0.714, 0.714)
O (0.286, 0.286, 0.759)
O (0.286, 0.759, 0.286)
O (0.714, 0.241, 0.714)
O (0.714, 0.714, 0.241)
O (0.759, 0.286, 0.286)
O (0.774, 0.774, 0.774)

---

(6)
A relaxed Na4TlIn4 crystal, computed with GGA-PBE.

Properties
E: -2.1903 eV/atom
relative energy among the computed polymorphs: 0 meV per atom
ΔE_f: -124 meV/atom
spin magnetization: 0.0 μB per formula unit
space-group type: I4/mmm (139)

abc: 7.853 7.853 7.853
angles: 94.30 94.30 148.23
Sites, in units of the cell vectors:
Na (0.167, 0.167, 0.333)
Na (0.167, 0.833, 0.000)
Na (0.833, 0.167, 0.000)
Na (0.833, 0.833, 0.667)
Tl (0.500, 0.500, 0.000)
In (0.156, 0.500, 0.656)
In (0.500, 0.156, 0.656)
In (0.500, 0.844, 0.344)
In (0.844, 0.500, 0.344)

---

(7)
A relaxed SmPaAgOs crystal, computed with GGA-PBE.

Properties
E: -7.0756 eV/atom
ΔE_f: -2 meV/atom
spin magnetization: 0.0 μB per formula unit
space-group type: F-43m (216)

abc: 5.013 5.013 5.013
angles: 60.00 60.00 60.00
Sites, in units of the cell vectors:
Sm (0.000, 0.000, 0.000)
Pa (0.500, 0.500, 0.500)
Ag (0.250, 0.250, 0.250)
Os (0.750, 0.750, 0.750)

---

(8)
A relaxed CsCdInP2 crystal, computed with GGA-PBE.

Properties
E: -3.3300 eV/atom
ΔE_f: -265 meV/atom
spin magnetization: 0.0 μB per formula unit
space-group type: C2/m (12)

abc: 7.412 7.412 10.293
angles: 98.77 98.77 34.43
Sites, in units of the cell vectors:
Cs (0.156, 0.156, 0.159)
Cs (0.844, 0.844, 0.841)
Cd (0.180, 0.180, 0.569)
Cd (0.820, 0.820, 0.431)
In (0.452, 0.452, 0.319)
In (0.548, 0.548, 0.681)
P (0.118, 0.118, 0.800)
P (0.373, 0.373, 0.562)
P (0.627, 0.627, 0.438)
P (0.882, 0.882, 0.200)

---

Q: Which of these has the lowest E?
A: ZrScRh2

---

Repeat the fourth record exactly.
A relaxed BeTe2 crystal, computed with GGA-PBE.

Properties
formation energy (no corrections): 0.1 eV/f.u.
E: -3.3198 eV/atom
relative energy among the computed polymorphs: 161 meV per atom
spin magnetization: 0.0 μB per formula unit
space-group type: Pa-3 (205)

abc: 6.532 6.532 6.532
angles: 90.00 90.00 90.00
Sites, in units of the cell vectors:
Be (0.000, 0.000, 0.000)
Be (0.000, 0.500, 0.500)
Be (0.500, 0.000, 0.500)
Be (0.500, 0.500, 0.000)
Te (0.124, 0.624, 0.876)
Te (0.124, 0.876, 0.376)
Te (0.376, 0.124, 0.876)
Te (0.376, 0.376, 0.376)
Te (0.624, 0.624, 0.624)
Te (0.624, 0.876, 0.124)
Te (0.876, 0.124, 0.624)
Te (0.876, 0.376, 0.124)

---

Q: Look up the E of the second one.
A: -5.4341 eV/atom